Entry from Alexandria via LeMat-Bulk: a relaxed structure of TaMo4W3 (PBE).

Computed properties:
Energy relative to the elements = -87 meV/atom
Energy above the most stable polymorph in this dataset = 0 meV per atom

abc: 3.184 4.512 9.025
angles: 90.00 90.00 90.00
Space group Pmmm (No. 47)
Symmetry-distinct sites (fractional):
Ta 0.000 0.000 0.000 (multiplicity 1)
Mo 0.500 0.000 0.254 (multiplicity 2)
Mo 0.500 0.500 0.000 (multiplicity 1)
Mo 0.500 0.500 0.500 (multiplicity 1)
W 0.000 0.000 0.500 (multiplicity 1)
W 0.000 0.500 0.251 (multiplicity 2)



Entry from Alexandria via LeMat-Bulk: a relaxed structure of Pr3Sm8Dy2 (PBE).

Computed properties:
Energy relative to the elements = 226 meV/atom
Energy above the most stable polymorph in this dataset = 49 meV per atom

abc: 7.762 20.433 5.778
angles: 90.00 90.00 90.00
Space group Cmmm (No. 65)
Symmetry-distinct sites (fractional):
Pr 0.000 0.000 0.000 (multiplicity 2)
Pr 0.210 0.500 0.500 (multiplicity 4)
Sm 0.000 0.136 0.500 (multiplicity 4)
Sm 0.000 0.326 0.500 (multiplicity 4)
Sm 0.209 0.391 0.000 (multiplicity 8)
Dy 0.000 0.242 0.000 (multiplicity 4)



Entry from Alexandria via LeMat-Bulk: a relaxed structure of PrThAgAu (PBE).

Computed properties:
Energy relative to the elements = -368 meV/atom
Energy above the most stable polymorph in this dataset = 22 meV per atom

abc: 7.483 7.483 7.483
angles: 90.00 90.00 90.00
Space group F-43m (No. 216)
Symmetry-distinct sites (fractional):
Pr 0.000 0.000 0.000 (multiplicity 4)
Th 0.000 0.000 0.500 (multiplicity 4)
Ag 0.250 0.250 0.250 (multiplicity 4)
Au 0.250 0.250 0.750 (multiplicity 4)



Entry from Alexandria via LeMat-Bulk: a relaxed structure of PmY2Ho8 (PBE).

Computed properties:
Energy relative to the elements = 157 meV/atom
Energy above the most stable polymorph in this dataset = 39 meV per atom

abc: 19.102 6.897 5.529
angles: 90.00 92.96 90.00
Space group C2/m (No. 12)
Symmetry-distinct sites (fractional):
Pm 0.000 0.000 0.000 (multiplicity 2)
Y 0.216 0.500 0.250 (multiplicity 4)
Ho 0.047 0.500 0.237 (multiplicity 4)
Ho 0.132 0.266 0.731 (multiplicity 8)
Ho 0.187 0.000 0.233 (multiplicity 4)



Entry from Alexandria via LeMat-Bulk: a relaxed structure of Ac2GaH6Ru (PBE).

Computed properties:
E_tot = -4.49 eV/atom

abc: 4.9863 4.9863 41.2261
angles: 90.00 90.00 120.00
Space group R-3m (No. 166, hexagonal axes)
Symmetry-distinct sites (fractional):
Ac 0.0000 0.0000 0.1280 (multiplicity 6)
Ac 0.0000 0.0000 0.2944 (multiplicity 6)
Ga 0.0000 0.0000 0.4202 (multiplicity 6)
H 0.0015 0.5007 0.6898 (multiplicity 18)
H 0.0024 0.5012 0.8558 (multiplicity 18)
Ru 0.0000 0.0000 0.0000 (multiplicity 3)
Ru 0.0000 0.0000 0.5000 (multiplicity 3)



Entry from Alexandria via LeMat-Bulk: a relaxed structure of Pm12Sn5Br2 (PBE).

Computed properties:
E_tot = -4.75 eV/atom

abc: 17.696 7.917 9.520
angles: 90.00 104.35 90.00
Space group C2/m (No. 12)
Symmetry-distinct sites (fractional):
Pm 0.006 0.000 0.318 (multiplicity 4)
Pm 0.007 0.500 0.779 (multiplicity 4)
Pm 0.146 0.249 0.066 (multiplicity 8)
Pm 0.167 0.238 0.595 (multiplicity 8)
Sn 0.000 0.000 0.000 (multiplicity 2)
Sn 0.179 0.500 0.343 (multiplicity 4)
Sn 0.201 0.500 0.851 (multiplicity 4)
Br 0.000 0.296 0.500 (multiplicity 4)



Entry from Alexandria via LeMat-Bulk: a relaxed structure of CeSiTcOs (PBE).

Computed properties:
E_tot = -8.45 eV/atom

abc: 4.537 3.162 9.678
angles: 90.00 90.00 90.00
Space group Amm2 (No. 38)
Symmetry-distinct sites (fractional):
Ce 0.000 0.000 0.000 (multiplicity 2)
Si 0.500 0.000 0.383 (multiplicity 2)
Tc 0.500 0.000 0.683 (multiplicity 2)
Os 0.000 0.000 0.258 (multiplicity 2)



Entry from Alexandria via LeMat-Bulk: a relaxed structure of UPaReGe (PBE).

Computed properties:
Energy relative to the elements = 156 meV/atom

abc: 6.786 6.786 6.786
angles: 90.00 90.00 90.00
Space group F-43m (No. 216)
Symmetry-distinct sites (fractional):
U 0.000 0.000 0.000 (multiplicity 4)
Pa 0.250 0.250 0.750 (multiplicity 4)
Re 0.000 0.000 0.500 (multiplicity 4)
Ge 0.250 0.250 0.250 (multiplicity 4)



Entry from Alexandria via LeMat-Bulk: a relaxed structure of SrGe2AsS6 (PBE).

Computed properties:
E_tot = -4.56 eV/atom

abc: 13.614 10.180 8.157
angles: 90.00 117.18 90.00
Space group C2/c (No. 15)
Symmetry-distinct sites (fractional):
Sr 0.000 0.181 0.250 (multiplicity 4)
Ge 0.214 0.423 0.166 (multiplicity 8)
As 0.000 0.246 0.750 (multiplicity 4)
S 0.094 0.091 0.662 (multiplicity 8)
S 0.150 0.218 0.084 (multiplicity 8)
S 0.162 0.443 0.415 (multiplicity 8)



Entry from Alexandria via LeMat-Bulk: a relaxed structure of KFePt2 (PBE).

Computed properties:
Energy relative to the elements = 500 meV/atom
Energy above the most stable polymorph in this dataset = 498 meV per atom

abc: 5.183 2.762 5.307
angles: 90.00 112.85 90.00
Space group P2/m (No. 10)
Symmetry-distinct sites (fractional):
K 0.000 0.000 0.000 (multiplicity 1)
Fe 0.000 0.500 0.500 (multiplicity 1)
Pt 0.500 0.000 0.500 (multiplicity 1)
Pt 0.500 0.500 0.000 (multiplicity 1)